# 1
HfZr3Ni2 | GGA-PBE | optimized geometry

Cell lengths 3.230, 3.230, 10.701 Å; angles 90.00, 90.00, 90.00 degrees
Fractional positions:
1 Hf 0.000 0.000 0.000
2 Zr 0.000 0.000 0.300
3 Zr 0.500 0.500 0.500
4 Zr 0.500 0.500 0.804
5 Ni 0.000 0.000 0.649
6 Ni 0.500 0.500 0.144

Calculated values
Symmetry = P4mm
ΔE_f = -0.28 eV/atom
Magnetic moment = 0.1 Bohr magnetons per cell
Polymorph energy (0 for the lowest one) = 42 meV/atom

# 2
CuSnPtW | GGA-PBE | optimized geometry

Cell lengths 4.538, 4.538, 4.538 Å; angles 60.00, 60.00, 60.00 degrees
Fractional positions:
1 Cu 0.000 0.000 0.000
2 Sn 0.750 0.750 0.750
3 Pt 0.250 0.250 0.250
4 W 0.500 0.500 0.500

Calculated values
Symmetry = F-43m
Magnetic moment = 1.3 Bohr magnetons per cell
Polymorph energy (0 for the lowest one) = 0 meV/atom

# 3
TbY2W2 | GGA-PBE | optimized geometry

Cell lengths 7.601, 7.601, 7.601 Å; angles 148.80, 148.80, 44.70 degrees
Fractional positions:
1 Tb 0.000 0.000 0.000
2 Y 0.396 0.396 0.000
3 Y 0.604 0.604 0.000
4 W 0.250 0.750 0.500
5 W 0.750 0.250 0.500

Calculated values
Symmetry = I4/mmm
ΔE_f = 0.87 eV/atom
Magnetic moment = 0.0 Bohr magnetons per cell
Polymorph energy (0 for the lowest one) = 155 meV/atom